(1)
# ZnBrNF2 | the Alexandria database | PBE | relaxed
data_ZnBrNF2
_chemical_formula_sum 'Zn1 Br1 N1 F2'
_symmetry_space_group_name_H-M 'P 4/m m m'
_symmetry_Int_Tables_number 123
_symmetry_space_group_name_Hall '-P 4 2'
_cell_length_a 4.715
_cell_length_b 4.715
_cell_length_c 3.688
_cell_angle_alpha 90.00
_cell_angle_beta 90.00
_cell_angle_gamma 90.00
loop_
_atom_site_label
_atom_site_type_symbol
_atom_site_fract_x
_atom_site_fract_y
_atom_site_fract_z
_atom_site_occupancy
Zn1 Zn 0.000 0.000 0.000 1
Br1 Br 0.500 0.500 0.500 1
N1 N 0.500 0.500 0.000 1
F1 F 0.000 0.500 0.500 1
# raw formation energy	2.41	eV/f.u.
# total DFT energy (no corrections)	-2.52	eV/atom
# magnetic moment	0.00	μB per formula unit



(2)
# ZnBrNF2 | the Alexandria database | PBE | relaxed
data_ZnBrNF2
_chemical_formula_sum 'Zn1 Br1 N1 F2'
_symmetry_space_group_name_H-M 'P 4/m m m'
_symmetry_Int_Tables_number 123
_symmetry_space_group_name_Hall '-P 4 2'
_cell_length_a 3.741
_cell_length_b 3.741
_cell_length_c 6.222
_cell_angle_alpha 90.00
_cell_angle_beta 90.00
_cell_angle_gamma 90.00
loop_
_atom_site_label
_atom_site_type_symbol
_atom_site_fract_x
_atom_site_fract_y
_atom_site_fract_z
_atom_site_occupancy
Zn1 Zn 0.000 0.000 0.000 1
Br1 Br 0.500 0.500 0.500 1
N1 N 0.000 0.000 0.500 1
F1 F 0.000 0.500 0.000 1
# raw formation energy	-0.96	eV/f.u.
# total DFT energy (no corrections)	-3.20	eV/atom
# magnetic moment	1.49	μB per formula unit



(3)
# ZrBrN2F | the Alexandria database | PBE | relaxed
data_ZrBrN2F
_chemical_formula_sum 'Zr1 Br1 N2 F1'
_symmetry_space_group_name_H-M 'P 4/m m m'
_symmetry_Int_Tables_number 123
_symmetry_space_group_name_Hall '-P 4 2'
_cell_length_a 4.157
_cell_length_b 4.157
_cell_length_c 4.008
_cell_angle_alpha 90.00
_cell_angle_beta 90.00
_cell_angle_gamma 90.00
loop_
_atom_site_label
_atom_site_type_symbol
_atom_site_fract_x
_atom_site_fract_y
_atom_site_fract_z
_atom_site_occupancy
Zr1 Zr 0.000 0.000 0.000 1
Br1 Br 0.500 0.500 0.500 1
N1 N 0.000 0.500 0.500 1
F1 F 0.500 0.500 0.000 1
# raw formation energy	5.29	eV/f.u.
# total DFT energy (no corrections)	-4.69	eV/atom
# magnetic moment	0.08	μB per formula unit



(4)
# ZrBrN2F | the Alexandria database | PBE | relaxed
data_ZrBrN2F
_chemical_formula_sum 'Zr1 Br1 N2 F1'
_symmetry_space_group_name_H-M 'P 4/m m m'
_symmetry_Int_Tables_number 123
_symmetry_space_group_name_Hall '-P 4 2'
_cell_length_a 4.429
_cell_length_b 4.429
_cell_length_c 4.206
_cell_angle_alpha 90.00
_cell_angle_beta 90.00
_cell_angle_gamma 90.00
loop_
_atom_site_label
_atom_site_type_symbol
_atom_site_fract_x
_atom_site_fract_y
_atom_site_fract_z
_atom_site_occupancy
Zr1 Zr 0.000 0.000 0.000 1
Br1 Br 0.500 0.500 0.500 1
N1 N 0.000 0.500 0.000 1
F1 F 0.000 0.000 0.500 1
# raw formation energy	-0.89	eV/f.u.
# total DFT energy (no corrections)	-5.93	eV/atom
# magnetic moment	3.16	μB per formula unit



Number 4 is which compound?
ZrBrN2F



What is the total DFT energy (no corrections) in the first record?
-2.52 eV/atom



raw formation energy of number 2 (ZnBrNF2)?
-0.96 eV/f.u.



Look up the magnetic moment of the first one.
0.00 μB per formula unit